Material: PaGaHg2
Method: DFT, PBE
State: optimized geometry Values from VASP.

The structure in Quantum ESPRESSO input format:
```
&SYSTEM
  ibrav = 0, nat = 4, ntyp = 3
/
ATOMIC_SPECIES
Pa 231.04 Pa.upf
Ga 69.72 Ga.upf
Hg 200.59 Hg.upf
ATOMIC_POSITIONS crystal
Pa 0.000 0.000 0.000
Ga 0.500 0.500 0.500
Hg 0.250 0.250 0.250
Hg 0.750 0.750 0.750
CELL_PARAMETERS angstrom
0.000 3.580 3.580
3.580 0.000 3.580
3.580 3.580 0.000
```

Values from the calculation:
crystal system	cubic
ΔE_f	0.0556	eV/atom